Entry 1:
This record from Alexandria via LeMat-Bulk describes a geometry-optimized La2CeAs3Rh4 structure. The functional is PBE.

Cell: 4.236 4.236 11.256 Å, 90.00 90.00 90.00°
Last column: magnetic moment on the atom in μB.
Positions (direct):
Rh: 0.500 0.500 0.000  -0.02
Rh: 0.500 0.000 0.651  0.01
Rh: 0.000 0.500 0.349  0.01
Rh: 0.000 0.000 0.000  -0.02
As: 0.000 0.000 0.500  0.01
As: 0.000 0.500 0.128  0.00
As: 0.500 0.000 0.872  0.00
La: 0.000 0.500 0.779  -0.01
La: 0.500 0.000 0.221  -0.01
Ce: 0.500 0.500 0.500  -0.17

Summary:
Space-group type = P-4m2
Mass density = 8.67 g/cm3
Energy = -0.507 Ry/atom
Formation enthalpy at 0 K = -0.9865 eV/atom

---

Entry 2:
This record from Alexandria via LeMat-Bulk describes a geometry-optimized DyTi2 structure. The functional is PBE.

Cell: 3.525 3.525 5.887 Å, 107.42 107.42 90.00°
Last column: magnetic moment on the atom in μB.
Positions (direct):
Dy: 0.000 0.000 0.000  0.07
Ti: 0.303 0.303 0.606  0.73
Ti: 0.697 0.697 0.394  0.73

Summary:
Space-group type = I4/mmm
Mass density = 6.47 g/cm3
Energy = -0.486 Ry/atom
Formation enthalpy at 0 K = 0.1864 eV/atom

---

Entry 3:
This record from Alexandria via LeMat-Bulk describes a geometry-optimized TiAlAg structure. The functional is PBE.

Cell: 4.496 4.494 6.753 Å, 70.57 70.56 59.99°
Last column: magnetic moment on the atom in μB.
Positions (direct):
Ag: 0.711 0.710 0.867  0.01
Ag: 0.289 0.290 0.133  0.01
Ti: 0.861 0.861 0.417  0.90
Ti: 0.139 0.139 0.583  0.90
Al: 0.431 0.430 0.709  -0.01
Al: 0.569 0.570 0.291  -0.01

Summary:
Space-group type = R-3m
Mass density = 5.56 g/cm3
Energy = -0.355 Ry/atom
Formation enthalpy at 0 K = -0.0024 eV/atom